# BWI2O (PBE+U, optimized geometry)
# volume = 134.8 Å³/f.u.
# DOS at the Fermi energy = 0.9 states/eV/cell
# E above lowest polymorph = 0.0 meV per atom
data_BWI2O
_chemical_formula_sum 'B1 W1 I2 O1'
_cell_length_a 5.8922
_cell_length_b 5.8922
_cell_length_c 3.8816
_cell_angle_alpha 90.00
_cell_angle_beta 90.00
_cell_angle_gamma 90.00
_space_group_name_H-M_alt 'P 4/m m m'
_space_group_IT_number 123
_space_group_name_Hall '-P 4 2'
loop_
_atom_site_label
_atom_site_fract_x
_atom_site_fract_y
_atom_site_fract_z
_atom_site_occupancy
B1 0.0000 0.0000 0.0000 1
W1 0.5000 0.5000 0.5000 1
I1 0.0000 0.5000 0.5000 1
O1 0.5000 0.5000 0.0000 1